Entry 1:
The following is a PBE calculation of SrLi2CoGe after structural relaxation, from Alexandria via LeMat-Bulk.

abc: 4.7573 4.7573 4.5154
angles: 90.00 90.00 90.00
Fractional positions:
Sr 0.0000 0.0000 0.0000
Li 0.0000 0.5000 0.5000
Li 0.5000 0.0000 0.5000
Co 0.5000 0.5000 0.5000
Ge 0.5000 0.5000 0.0000

***

Entry 2:
The following is a PBE calculation of LiThCoGe after structural relaxation, from Alexandria via LeMat-Bulk.

abc: 4.5817 4.5817 4.5817
angles: 60.00 60.00 60.00
Fractional positions:
Li 0.0000 0.0000 0.0000
Th 0.7500 0.7500 0.7500
Co 0.5000 0.5000 0.5000
Ge 0.2500 0.2500 0.2500

***

Entry 3:
The following is a PBE calculation of LiTmCoGe2 after structural relaxation, from Alexandria via LeMat-Bulk.

abc: 5.8251 5.8251 5.8251
angles: 139.77 139.77 58.21
Fractional positions:
Li 0.0000 0.0000 0.0000
Tm 0.7500 0.2500 0.5000
Co 0.5000 0.5000 0.0000
Ge 0.1264 0.6264 0.5000
Ge 0.3736 0.8736 0.5000

***

Entry 4:
The following is a PBE calculation of LiYCoGe2 after structural relaxation, from Alexandria via LeMat-Bulk.

abc: 5.8545 5.8545 5.8545
angles: 139.60 139.60 58.47
Fractional positions:
Li 0.0000 0.0000 0.0000
Y 0.7500 0.2500 0.5000
Co 0.5000 0.5000 0.0000
Ge 0.1253 0.6253 0.5000
Ge 0.3747 0.8747 0.5000

***

no.,energy of formation from the pure elements (kJ per mole of atoms)
1,-12.2
2,-36.3
3,-48.6
4,-51.5